Below is a relaxed HfMn2ZnO6 crystal, with properties calculated at the PBE with a Hubbard U level.

Cell: 5.1705 5.1719 5.4745 Å, 61.95 62.36 60.19°
Space group P1 (No. 1)
Asymmetric unit:
Hf (0.0000, 0.0000, 0.0000) (multiplicity 1)
Mn (0.2069, 0.2064, 0.3795) (multiplicity 1)
Mn (0.7068, 0.7038, 0.8817) (multiplicity 1)
Zn (0.4887, 0.4934, 0.5262) (multiplicity 1)
O (0.0838, 0.8279, 0.6667) (multiplicity 1)
O (0.3215, 0.5894, 0.1591) (multiplicity 1)
O (0.4188, 0.0876, 0.6671) (multiplicity 1)
O (0.5918, 0.9294, 0.1589) (multiplicity 1)
O (0.8267, 0.4223, 0.6674) (multiplicity 1)
O (0.9336, 0.3203, 0.1586) (multiplicity 1)

The calculation puts the total energy at -7.412 eV per atom. The volume comes out at 106.92 Å³/cell.